# 1
The following is a DFT calculation (PBE) of crystalline Cu3Ni2 at its relaxed geometry.

Formation energy from the elements (meV per atom): 5
Total magnetic moment (μB per cell): 0.55

Cell: 10.4515 2.5230 2.5230 Å, 60.00 96.93 96.93°
Last column: magnetic moment on the atom in μB.
Element x y z (fractional)
1 Cu 0.6020 0.2007 0.2007  -0.01
2 Cu 0.0000 0.0000 0.0000  0.00
3 Cu 0.3980 0.7993 0.7993  -0.01
4 Ni 0.1993 0.3998 0.3998  0.31
5 Ni 0.8007 0.6002 0.6002  0.31

***

# 2
The following is a DFT calculation (PBE) of crystalline CaBi2H2 at its relaxed geometry.

Total magnetic moment (μB per cell): 0.00

Cell: 6.9358 6.9358 4.5543 Å, 90.00 90.00 90.00°
Element x y z (fractional)
1 Ca 0.0000 0.0000 0.0000
2 Ca 0.5000 0.5000 0.0000
3 H 0.1861 0.6861 0.0000
4 H 0.3139 0.1861 0.0000
5 H 0.8139 0.3139 0.0000
6 H 0.6861 0.8139 0.0000
7 Bi 0.1615 0.6615 0.5000
8 Bi 0.6615 0.8385 0.5000
9 Bi 0.8385 0.3385 0.5000
10 Bi 0.3385 0.1615 0.5000

***

# 3
The following is a DFT calculation (PBE) of crystalline BaSi3Mo at its relaxed geometry.

Energy relative to the elements, uncorrected (kJ per mole of atoms): 258.16
Total magnetic moment (μB per cell): 0.46

Cell: 5.2703 5.2703 5.2703 Å, 90.00 90.00 90.00°
Last column: magnetic moment on the atom in μB.
Element x y z (fractional)
1 Mo 0.5000 0.5000 0.5000  -0.74
2 Si 0.5000 0.0000 0.0000  0.03
3 Si 0.0000 0.5000 0.0000  0.05
4 Si 0.0000 0.0000 0.5000  0.02
5 Ba 0.0000 0.0000 0.0000  0.07

***

| no. | E_tot (eV/atom) | density of states at the Fermi level (states/eV/f.u.) |
| --- | --- | --- |
| 1 | -4.765 | 3.38 |
| 2 | -3.355 | 1.93 |
| 3 | -3.129 | 9.75 |